This record from Alexandria via LeMat-Bulk describes an optimized crystal structure of BaZn2Sb. The functional is PBE.

a = 5.063 Å, b = 5.063 Å, c = 10.526 Å
α = 76.08°, β = 76.08°, γ = 90.00°
Positions (direct):
Ba 0.000 0.000 0.000
Sb 0.250 0.750 0.500
Zn 0.875 0.625 0.750
Ba 0.750 0.250 0.500
Zn 0.375 0.625 0.750
Sb 0.500 0.500 0.000
Zn 0.375 0.625 0.250
Zn 0.375 0.125 0.250

## Properties
Its space group is I4_1/amd. The value obtained for the uncorrected formation energy is -309 meV per atom.

***

This record from Alexandria via LeMat-Bulk describes an optimized crystal structure of ReNiTe2. The functional is PBE.

a = 4.680 Å, b = 4.680 Å, c = 4.680 Å
α = 60.00°, β = 60.00°, γ = 60.00°
Site moments in Bohr magnetons follow the coordinates.
Positions (direct):
Ni 0.000 0.000 0.000  0.37
Te 0.250 0.250 0.250  0.00
Re 0.500 0.500 0.500  0.25
Te 0.750 0.750 0.750  0.00

## Properties
As for the polymorph energy (0 for the lowest one): 0.489 eV/atom. Its space group is Fm-3m. The value obtained for the uncorrected formation energy is 595 meV per atom.

***

This record from Alexandria via LeMat-Bulk describes an optimized crystal structure of EuScCuNi. The functional is PBE.

a = 4.782 Å, b = 4.782 Å, c = 4.782 Å
α = 60.00°, β = 60.00°, γ = 60.00°
Site moments in Bohr magnetons follow the coordinates.
Positions (direct):
Eu 0.000 0.000 0.000  6.71
Sc 0.500 0.500 0.500  0.02
Ni 0.250 0.250 0.250  -0.03
Cu 0.750 0.750 0.750  0.01

## Properties
The formation enthalpy at 0 K comes out at -0.427 eV/f.u. Its space group is F-43m.

***

This record from Alexandria via LeMat-Bulk describes an optimized crystal structure of ScMoCl2. The functional is PBE.

a = 9.103 Å, b = 9.103 Å, c = 9.103 Å
α = 160.05°, β = 160.01°, γ = 28.38°
Site moments in Bohr magnetons follow the coordinates.
Positions (direct):
Sc 0.314 0.814 0.500  0.20
Cl 0.013 0.013 0.000  0.00
Mo 0.446 0.446 0.000  -0.03
Cl 0.728 0.228 0.500  0.00

## Properties
As for the polymorph energy (0 for the lowest one): 0.302 eV/atom. Its space group is Imm2. The value obtained for the uncorrected formation energy is -508 meV per atom.

***

This record from Alexandria via LeMat-Bulk describes an optimized crystal structure of Sr3HfNi. The functional is PBE.

a = 5.689 Å, b = 5.689 Å, c = 5.689 Å
α = 90.00°, β = 90.00°, γ = 90.00°
Site moments in Bohr magnetons follow the coordinates.
Positions (direct):
Sr 0.500 0.000 0.000  0.03
Hf 0.500 0.500 0.500  0.81
Ni 0.000 0.000 0.000  0.02
Sr 0.000 0.000 0.500  0.03
Sr 0.000 0.500 0.000  0.02

## Properties
The formation enthalpy at 0 K comes out at 3.275 eV/f.u. As for the polymorph energy (0 for the lowest one): 0.000 eV/atom. Its space group is Pm-3m.

***

This record from Alexandria via LeMat-Bulk describes an optimized crystal structure of Sc5Ge2N. The functional is PBE.

a = 5.144 Å, b = 5.161 Å, c = 13.304 Å
α = 90.00°, β = 90.00°, γ = 119.89°
Site moments in Bohr magnetons follow the coordinates.
Positions (direct):
Sc 0.410 0.821 0.131  0.13
Sc 0.910 0.820 0.869  0.13
Sc 0.590 0.179 0.631  0.13
Sc 0.910 0.820 0.631  0.13
Ge 0.250 0.500 0.552  -0.01
Sc 0.090 0.180 0.369  0.13
N 0.750 0.500 0.750  -0.01
N 0.250 0.500 0.250  -0.01
Ge 0.250 0.500 0.948  -0.01
Sc 0.750 0.500 0.250  0.04
Sc 0.250 0.500 0.750  0.04
Sc 0.410 0.821 0.369  0.13
Ge 0.750 0.500 0.448  -0.01
Sc 0.090 0.180 0.131  0.13
Ge 0.750 0.500 0.052  -0.01
Sc 0.590 0.179 0.869  0.13

## Properties
Its space group is Fmmm. The value obtained for the uncorrected formation energy is -732 meV per atom.

***

This record from Alexandria via LeMat-Bulk describes an optimized crystal structure of CsCd2HgCl8. The functional is PBE.

a = 10.448 Å, b = 5.328 Å, c = 9.317 Å
α = 56.93°, β = 75.89°, γ = 77.77°
Positions (direct):
Cs 0.000 0.000 0.500
Cl 0.497 0.732 0.520
Cl 0.171 0.958 0.799
Cd 0.418 0.597 0.186
Cd 0.582 0.403 0.814
Cl 0.405 0.209 0.082
Cl 0.595 0.791 0.918
Cl 0.174 0.628 0.284
Cl 0.829 0.042 0.201
Cl 0.826 0.372 0.716
Cl 0.503 0.268 0.480
Hg 0.000 0.000 0.000

## Properties
Its space group is P-1. The value obtained for the uncorrected formation energy is -969 meV per atom.

***

This record from Alexandria via LeMat-Bulk describes an optimized crystal structure of PrPa3N4. The functional is PBE.

a = 3.524 Å, b = 3.524 Å, c = 23.422 Å
α = 90.00°, β = 90.00°, γ = 120.00°
Positions (direct):
Pa 0.667 0.333 0.378
Pa 0.667 0.333 0.122
N 0.333 0.667 0.062
Pa 0.333 0.667 0.878
Pa 0.000 0.000 0.500
N 0.667 0.333 0.562
Pa 0.333 0.667 0.622
Pr 0.333 0.667 0.250
Pr 0.667 0.333 0.750
Pa 0.000 0.000 0.000
N 0.667 0.333 0.938
N 0.333 0.667 0.438
N 0.000 0.000 0.178
N 0.000 0.000 0.322
N 0.000 0.000 0.678
N 0.000 0.000 0.822

## Properties
Its space group is P6_3/mmc. The value obtained for the uncorrected formation energy is -1569 meV per atom.

***

This record from Alexandria via LeMat-Bulk describes an optimized crystal structure of HgMo2. The functional is PBE.

a = 4.641 Å, b = 4.641 Å, c = 5.578 Å
α = 90.00°, β = 90.00°, γ = 120.00°
Positions (direct):
Mo 0.000 0.000 0.500
Mo 0.333 0.667 0.750
Hg 0.333 0.667 0.250
Hg 0.667 0.333 0.750
Mo 0.000 0.000 0.000
Mo 0.667 0.333 0.250

## Properties
The formation enthalpy at 0 K comes out at 2.192 eV/f.u. As for the polymorph energy (0 for the lowest one): 0.327 eV/atom. Its space group is P6_3/mmc.

***

This record from Alexandria via LeMat-Bulk describes an optimized crystal structure of MnAs2W. The functional is PBE.

a = 2.890 Å, b = 2.890 Å, c = 7.957 Å
α = 90.00°, β = 90.00°, γ = 90.00°
Positions (direct):
W 0.500 0.500 0.712
As 0.500 0.500 0.332
As 0.000 0.000 0.949
Mn 0.000 0.000 0.506

## Properties
The formation enthalpy at 0 K comes out at 0.295 eV/f.u. As for the polymorph energy (0 for the lowest one): 0.062 eV/atom. Its space group is P4mm.

***

This record from Alexandria via LeMat-Bulk describes an optimized crystal structure of La6MgCd2. The functional is PBE.

a = 9.247 Å, b = 9.247 Å, c = 9.247 Å
α = 107.40°, β = 112.24°, γ = 108.82°
Positions (direct):
Mg 0.000 0.500 0.500
La 0.266 0.587 0.321
Cd 0.359 0.000 0.359
La 0.198 0.254 0.452
La 0.802 0.746 0.548
Cd 0.641 0.000 0.641
Cd 0.500 0.632 0.132
La 0.734 0.413 0.679
La 0.915 0.730 0.185
La 0.085 0.270 0.815
La 0.198 0.746 0.945
La 0.266 0.946 0.679
La 0.734 0.054 0.321
Cd 0.500 0.368 0.868
La 0.802 0.254 0.055
Mg 0.000 0.000 0.000
La 0.455 0.270 0.185
La 0.545 0.730 0.815

## Properties
The formation enthalpy at 0 K comes out at -0.873 eV/f.u. As for the polymorph energy (0 for the lowest one): 0.030 eV/atom. Its space group is Immm.

***

This record from Alexandria via LeMat-Bulk describes an optimized crystal structure of Tl2HgBi2Pd7. The functional is PBE.

a = 3.947 Å, b = 3.947 Å, c = 16.150 Å
α = 82.91°, β = 82.91°, γ = 89.99°
Positions (direct):
Pd 0.566 0.066 0.867
Bi 0.808 0.808 0.384
Bi 0.192 0.192 0.616
Pd 0.934 0.434 0.133
Pd 0.722 0.722 0.556
Tl 0.371 0.371 0.259
Pd 0.434 0.934 0.133
Hg 0.000 0.000 0.000
Pd 0.278 0.278 0.444
Pd 0.500 0.500 0.000
Tl 0.629 0.629 0.741
Pd 0.066 0.566 0.867

## Properties
The formation enthalpy at 0 K comes out at -1.229 eV/f.u. Its space group is C2/m.

***

Number 1: theoretical density 5104 kg/m3. Number 2: theoretical density 11457 kg/m3. Number 3: theoretical density 6854 kg/m3. Number 4: theoretical density 4000 kg/m3. Number 5: theoretical density 4509 kg/m3. Number 6: theoretical density 4165 kg/m3. Number 7: theoretical density 3333 kg/m3. Number 8: theoretical density 11732 kg/m3. Number 9: theoretical density 12528 kg/m3. Number 10: theoretical density 9710 kg/m3. Number 11: theoretical density 5917 kg/m3. Number 12: theoretical density 11879 kg/m3.